# 1
Hf2AgO4 | PBE | relaxed

abc: 6.5144 6.5144 6.5144
angles: 60.00 60.00 60.00
Fractional coordinates of all 14 atoms:
1 Hf 0.0000 0.0000 0.0000
2 Hf 0.0000 0.0000 0.5000
3 Hf 0.0000 0.5000 0.0000
4 Hf 0.5000 0.0000 0.0000
5 Ag 0.3750 0.3750 0.3750
6 Ag 0.6250 0.6250 0.6250
7 O 0.1884 0.7705 0.7705
8 O 0.2295 0.2295 0.2295
9 O 0.2295 0.2295 0.8116
10 O 0.2295 0.8116 0.2295
11 O 0.7705 0.1884 0.7705
12 O 0.7705 0.7705 0.1884
13 O 0.7705 0.7705 0.7705
14 O 0.8116 0.2295 0.2295

Its space group is Fd-3m, No. 227. Its crystal system is cubic. For the density, the calculation gives 8.98 g/cm3. The electronic total energy is -8.569 eV per atom.

# 2
Al5W7 | PBE | relaxed

abc: 5.1432 5.1432 16.4218
angles: 90.00 90.00 120.00
Fractional coordinates of all 24 atoms:
1 Al 0.1606 0.3212 0.2500
2 Al 0.1606 0.8394 0.2500
3 Al 0.3212 0.1606 0.7500
4 Al 0.3333 0.6667 0.1288
5 Al 0.3333 0.6667 0.3712
6 Al 0.6667 0.3333 0.6288
7 Al 0.6667 0.3333 0.8712
8 Al 0.6788 0.8394 0.2500
9 Al 0.8394 0.1606 0.7500
10 Al 0.8394 0.6788 0.7500
11 W 0.0000 0.0000 0.0927
12 W 0.0000 0.0000 0.4073
13 W 0.0000 0.0000 0.5927
14 W 0.0000 0.0000 0.9073
15 W 0.0000 0.5000 0.0000
16 W 0.0000 0.5000 0.5000
17 W 0.3333 0.6667 0.6615
18 W 0.3333 0.6667 0.8385
19 W 0.5000 0.0000 0.0000
20 W 0.5000 0.0000 0.5000
21 W 0.5000 0.5000 0.0000
22 W 0.5000 0.5000 0.5000
23 W 0.6667 0.3333 0.1615
24 W 0.6667 0.3333 0.3385

Its space group is P6_3/mmc, No. 194. Its crystal system is hexagonal. Its polymorph energy (0 for the lowest one) is 1.6 kJ per mole of atoms. For the density, the calculation gives 12.55 g/cm3. The electronic total energy is -8.906 eV per atom.